Record 1
DFT (PBE-GGA) results for an optimized crystal structure of Nb2HgCl2.

a = 9.675 Å, b = 9.675 Å, c = 9.675 Å
α = 156.51°, β = 156.51°, γ = 33.46°
Positions (direct):
1 Nb 0.250 0.750 0.500
2 Nb 0.750 0.250 0.500
3 Hg 0.000 0.000 0.000
4 Cl 0.341 0.341 0.000
5 Cl 0.659 0.659 0.000

Output
**Energy relative to the lowest polymorph listed for this composition**: 0.000 eV/f.u.
**Volume**: 28.7 Å³/atom
**Formation energy without anion corrections**: -41 kJ/mol of formula units
**Spin magnetization**: 0.101 μB per atom

Record 2
DFT (PBE-GGA) results for an optimized crystal structure of KTeP.

a = 6.050 Å, b = 6.050 Å, c = 7.384 Å
α = 113.56°, β = 113.56°, γ = 66.56°
Positions (direct):
1 K 0.198 0.198 0.272
2 K 0.802 0.802 0.728
3 Te 0.175 0.175 0.752
4 Te 0.825 0.825 0.248
5 P 0.428 0.428 0.064
6 P 0.572 0.572 0.936

Output
**Energy relative to the lowest polymorph listed for this composition**: 0.000 eV/f.u.
**Volume**: 36.3 Å³/atom
**Formation energy without anion corrections**: -132 kJ/mol of formula units
**Spin magnetization**: 0.000 μB per atom

Record 3
DFT (PBE-GGA) results for an optimized crystal structure of ScCd2Se.

a = 4.019 Å, b = 4.019 Å, c = 5.582 Å
α = 90.00°, β = 90.00°, γ = 90.00°
Positions (direct):
1 Sc 0.000 0.000 0.000
2 Cd 0.500 0.500 0.248
3 Cd 0.500 0.500 0.752
4 Se 0.000 0.000 0.500

Output
**Volume**: 22.5 Å³/atom
**Formation energy without anion corrections**: -115 kJ/mol of formula units
**Spin magnetization**: 0.000 μB per atom

Record 4
DFT (PBE-GGA) results for an optimized crystal structure of La4TeRhBr2.

a = 7.704 Å, b = 4.221 Å, c = 8.048 Å
α = 90.00°, β = 107.83°, γ = 90.00°
Positions (direct):
1 La 0.209 0.000 0.207
2 La 0.243 0.500 0.770
3 La 0.757 0.500 0.230
4 La 0.791 0.000 0.793
5 Te 0.000 0.000 0.500
6 Rh 0.000 0.500 0.000
7 Br 0.500 0.000 0.000
8 Br 0.500 0.500 0.500

Output
**Volume**: 31.1 Å³/atom
**Formation energy without anion corrections**: -973 kJ/mol of formula units
**Spin magnetization**: 0.000 μB per atom

Record 5
DFT (PBE-GGA) results for an optimized crystal structure of LaSm6Cd.

a = 6.444 Å, b = 6.451 Å, c = 6.453 Å
α = 95.61°, β = 95.75°, γ = 95.63°
Positions (direct):
1 La 0.000 0.000 0.000
2 Sm 0.048 0.546 0.262
3 Sm 0.262 0.048 0.546
4 Sm 0.454 0.737 0.952
5 Sm 0.546 0.263 0.048
6 Sm 0.738 0.952 0.454
7 Sm 0.952 0.454 0.738
8 Cd 0.500 0.500 0.500

Output
**Energy relative to the lowest polymorph listed for this composition**: 0.538 eV/f.u.
**Volume**: 33.0 Å³/atom
**Spin magnetization**: 0.000 μB per atom
**ΔE_f**: 0.29 eV/f.u.

Record 6
DFT (PBE-GGA) results for an optimized crystal structure of AcPr6Th.

a = 5.261 Å, b = 5.261 Å, c = 10.565 Å
α = 90.00°, β = 90.00°, γ = 90.00°
Positions (direct):
1 Ac 0.000 0.000 0.000
2 Pr 0.000 0.500 0.260
3 Pr 0.000 0.500 0.740
4 Pr 0.500 0.000 0.260
5 Pr 0.500 0.000 0.740
6 Pr 0.500 0.500 0.000
7 Pr 0.500 0.500 0.500
8 Th 0.000 0.000 0.500

Output
**Volume**: 36.5 Å³/atom
**Spin magnetization**: 0.000 μB per atom
**ΔE_f**: 0.29 eV/f.u.

Record 7
DFT (PBE-GGA) results for an optimized crystal structure of Ce3Fe5N12.

a = 10.566 Å, b = 10.566 Å, c = 10.566 Å
α = 109.47°, β = 109.47°, γ = 109.47°
Positions (direct):
1 Ce 0.125 0.250 0.375
2 Ce 0.125 0.375 0.750
3 Ce 0.250 0.375 0.125
4 Ce 0.250 0.875 0.625
5 Ce 0.375 0.125 0.250
6 Ce 0.375 0.750 0.125
7 Ce 0.625 0.250 0.875
8 Ce 0.625 0.875 0.750
9 Ce 0.750 0.125 0.375
10 Ce 0.750 0.625 0.875
11 Ce 0.875 0.625 0.250
12 Ce 0.875 0.750 0.625
13 Fe 0.000 0.000 0.000
14 Fe 0.000 0.000 0.500
15 Fe 0.000 0.500 0.000
16 Fe 0.000 0.500 0.500
17 Fe 0.125 0.750 0.875
18 Fe 0.125 0.875 0.250
19 Fe 0.250 0.125 0.875
20 Fe 0.250 0.625 0.375
21 Fe 0.375 0.250 0.625
22 Fe 0.375 0.625 0.750
23 Fe 0.500 0.000 0.000
24 Fe 0.500 0.000 0.500
25 Fe 0.500 0.500 0.000
26 Fe 0.500 0.500 0.500
27 Fe 0.625 0.375 0.250
28 Fe 0.625 0.750 0.375
29 Fe 0.750 0.375 0.625
30 Fe 0.750 0.875 0.125
31 Fe 0.875 0.125 0.750
32 Fe 0.875 0.250 0.125
33 N 0.012 0.196 0.116
34 N 0.012 0.316 0.896
35 N 0.080 0.696 0.684
36 N 0.080 0.884 0.396
37 N 0.104 0.616 0.420
38 N 0.104 0.988 0.684
39 N 0.116 0.012 0.196
40 N 0.116 0.604 0.920
41 N 0.184 0.196 0.580
42 N 0.184 0.488 0.604
43 N 0.196 0.116 0.012
44 N 0.196 0.580 0.184
45 N 0.304 0.316 0.920
46 N 0.304 0.488 0.384
47 N 0.316 0.896 0.012
48 N 0.316 0.920 0.304
49 N 0.384 0.304 0.488
50 N 0.384 0.580 0.896
51 N 0.396 0.080 0.884
52 N 0.396 0.816 0.512
53 N 0.420 0.104 0.616
54 N 0.420 0.816 0.804
55 N 0.488 0.384 0.304
56 N 0.488 0.604 0.184
57 N 0.512 0.396 0.816
58 N 0.512 0.616 0.696
59 N 0.580 0.184 0.196
60 N 0.580 0.896 0.384
61 N 0.604 0.184 0.488
62 N 0.604 0.920 0.116
63 N 0.616 0.420 0.104
64 N 0.616 0.696 0.512
65 N 0.684 0.080 0.696
66 N 0.684 0.104 0.988
67 N 0.696 0.512 0.616
68 N 0.696 0.684 0.080
69 N 0.804 0.420 0.816
70 N 0.804 0.884 0.988
71 N 0.816 0.512 0.396
72 N 0.816 0.804 0.420
73 N 0.884 0.396 0.080
74 N 0.884 0.988 0.804
75 N 0.896 0.012 0.316
76 N 0.896 0.384 0.580
77 N 0.920 0.116 0.604
78 N 0.920 0.304 0.316
79 N 0.988 0.684 0.104
80 N 0.988 0.804 0.884

Output
**Volume**: 11.4 Å³/atom
**Formation energy without anion corrections**: -616 kJ/mol of formula units
**Spin magnetization**: 0.060 μB per atom

Record 8
DFT (PBE-GGA) results for an optimized crystal structure of NaAgH2.

a = 4.073 Å, b = 4.073 Å, c = 4.073 Å
α = 60.00°, β = 60.00°, γ = 60.00°
Positions (direct):
1 Na 0.000 0.000 0.000
2 Ag 0.500 0.500 0.500
3 H 0.250 0.250 0.250
4 H 0.750 0.750 0.750

Output
**Energy relative to the lowest polymorph listed for this composition**: 1.869 eV/f.u.
**Volume**: 11.9 Å³/atom
**Spin magnetization**: 0.000 μB per atom

Record 9
DFT (PBE-GGA) results for an optimized crystal structure of SmY2Ag.

a = 10.717 Å, b = 10.717 Å, c = 10.717 Å
α = 19.35°, β = 19.35°, γ = 19.35°
Positions (direct):
1 Sm 0.000 0.000 0.000
2 Y 0.240 0.240 0.240
3 Y 0.760 0.760 0.760
4 Ag 0.500 0.500 0.500

Output
**Energy relative to the lowest polymorph listed for this composition**: 0.481 eV/f.u.
**Volume**: 29.5 Å³/atom
**Spin magnetization**: 0.000 μB per atom
**ΔE_f**: -0.07 eV/f.u.

Record 10
DFT (PBE-GGA) results for an optimized crystal structure of CuTcMo2.

a = 2.634 Å, b = 4.411 Å, c = 5.170 Å
α = 90.00°, β = 99.66°, γ = 90.00°
Positions (direct):
1 Cu 0.000 0.000 0.000
2 Tc 0.165 0.500 0.736
3 Mo 0.413 0.000 0.506
4 Mo 0.644 0.500 0.223

Output
**Energy relative to the lowest polymorph listed for this composition**: 0.161 eV/f.u.
**Volume**: 14.8 Å³/atom
**Spin magnetization**: 0.000 μB per atom
**ΔE_f**: 0.74 eV/f.u.

Record 11
DFT (PBE-GGA) results for an optimized crystal structure of Pm4AlPd.

a = 8.366 Å, b = 8.366 Å, c = 5.892 Å
α = 102.64°, β = 102.64°, γ = 115.65°
Positions (direct):
1 Pm 0.069 0.691 0.919
2 Pm 0.220 0.364 0.670
3 Pm 0.309 0.931 0.581
4 Pm 0.364 0.220 0.170
5 Pm 0.636 0.780 0.830
6 Pm 0.691 0.069 0.419
7 Pm 0.780 0.636 0.330
8 Pm 0.931 0.309 0.081
9 Al 0.378 0.622 0.250
10 Al 0.622 0.378 0.750
11 Pd 0.002 0.998 0.250
12 Pd 0.998 0.002 0.750

Output
**Energy relative to the lowest polymorph listed for this composition**: 0.071 eV/f.u.
**Volume**: 28.2 Å³/atom
**Spin magnetization**: 0.000 μB per atom
**ΔE_f**: -2.01 eV/f.u.

Record 12
DFT (PBE-GGA) results for an optimized crystal structure of ErCd6Hg2.

a = 7.390 Å, b = 7.390 Å, c = 7.288 Å
α = 109.03°, β = 109.03°, γ = 34.21°
Positions (direct):
1 Er 0.000 0.000 0.000
2 Cd 0.107 0.107 0.654
3 Cd 0.228 0.228 0.335
4 Cd 0.327 0.327 0.005
5 Cd 0.673 0.673 0.995
6 Cd 0.772 0.772 0.665
7 Cd 0.893 0.893 0.346
8 Hg 0.440 0.440 0.678
9 Hg 0.560 0.560 0.322

Output
**Energy relative to the lowest polymorph listed for this composition**: 0.000 eV/f.u.
**Volume**: 23.4 Å³/atom
**Spin magnetization**: 0.000 μB per atom
**ΔE_f**: -1.00 eV/f.u.

Record 13
DFT (PBE-GGA) results for an optimized crystal structure of CaTb2SmTl4.

a = 9.445 Å, b = 9.445 Å, c = 9.445 Å
α = 33.34°, β = 33.34°, γ = 33.34°
Positions (direct):
1 Ca 0.000 0.000 0.000
2 Tb 0.253 0.253 0.253
3 Tb 0.747 0.747 0.747
4 Sm 0.500 0.500 0.500
5 Tl 0.125 0.125 0.125
6 Tl 0.376 0.376 0.376
7 Tl 0.624 0.624 0.624
8 Tl 0.875 0.875 0.875

Output
**Volume**: 28.3 Å³/atom
**Spin magnetization**: 0.000 μB per atom
**ΔE_f**: -2.98 eV/f.u.

Record 14
DFT (PBE-GGA) results for an optimized crystal structure of La2TlAg.

a = 7.406 Å, b = 7.406 Å, c = 7.406 Å
α = 153.40°, β = 134.98°, γ = 53.06°
Positions (direct):
1 La 0.226 0.226 0.000
2 La 0.774 0.774 0.000
3 Tl 0.500 0.500 0.000
4 Ag 0.000 0.000 0.000

Output
**Energy relative to the lowest polymorph listed for this composition**: 2.600 eV/f.u.
**Volume**: 32.0 Å³/atom
**Spin magnetization**: 0.000 μB per atom
**ΔE_f**: 1.23 eV/f.u.

Record 15
DFT (PBE-GGA) results for an optimized crystal structure of Y3Cd2Pd6.

a = 8.411 Å, b = 8.411 Å, c = 8.411 Å
α = 109.47°, β = 109.47°, γ = 109.47°
Positions (direct):
1 Y 0.000 0.302 0.302
2 Y 0.000 0.698 0.698
3 Y 0.302 0.000 0.302
4 Y 0.302 0.302 0.000
5 Y 0.698 0.000 0.698
6 Y 0.698 0.698 0.000
7 Cd 0.000 0.000 0.500
8 Cd 0.000 0.500 0.000
9 Cd 0.500 0.000 0.000
10 Cd 0.500 0.500 0.500
11 Pd 0.000 0.345 0.655
12 Pd 0.000 0.655 0.345
13 Pd 0.311 0.655 0.655
14 Pd 0.345 0.000 0.655
15 Pd 0.345 0.345 0.689
16 Pd 0.345 0.655 0.000
17 Pd 0.345 0.689 0.345
18 Pd 0.655 0.000 0.345
19 Pd 0.655 0.311 0.655
20 Pd 0.655 0.345 0.000
21 Pd 0.655 0.655 0.311
22 Pd 0.689 0.345 0.345

Output
**Volume**: 20.8 Å³/atom
**Spin magnetization**: 0.000 μB per atom
**ΔE_f**: -7.70 eV/f.u.

Record 16
DFT (PBE-GGA) results for an optimized crystal structure of MnIn2Te.

a = 7.102 Å, b = 7.102 Å, c = 7.102 Å
α = 149.85°, β = 144.60°, γ = 47.16°
Positions (direct):
1 Mn 0.000 0.000 0.000
2 In 0.192 0.692 0.500
3 In 0.808 0.308 0.500
4 Te 0.500 0.500 0.000

Output
**Volume**: 26.0 Å³/atom
**Formation energy without anion corrections**: 49 kJ/mol of formula units
**Spin magnetization**: 1.003 μB per atom

Record 17
DFT (PBE-GGA) results for an optimized crystal structure of NdY3Tm2.

a = 9.425 Å, b = 9.425 Å, c = 6.165 Å
α = 90.16°, β = 90.16°, γ = 44.43°
Positions (direct):
1 Nd 0.126 0.874 0.750
2 Nd 0.874 0.126 0.250
3 Y 0.043 0.294 0.915
4 Y 0.294 0.043 0.415
5 Y 0.376 0.624 0.250
6 Y 0.624 0.376 0.750
7 Y 0.706 0.957 0.585
8 Y 0.957 0.706 0.085
9 Tm 0.208 0.457 0.583
10 Tm 0.457 0.208 0.083
11 Tm 0.543 0.792 0.917
12 Tm 0.792 0.543 0.417

Output
**Volume**: 31.9 Å³/atom
**Spin magnetization**: 0.000 μB per atom
**ΔE_f**: 0.15 eV/f.u.

Record 18
DFT (PBE-GGA) results for an optimized crystal structure of SrCa2TiRu.

a = 5.718 Å, b = 5.718 Å, c = 4.721 Å
α = 90.00°, β = 90.00°, γ = 90.00°
Positions (direct):
1 Sr 0.000 0.000 0.000
2 Ca 0.000 0.500 0.500
3 Ca 0.500 0.000 0.500
4 Ti 0.500 0.500 0.000
5 Ru 0.500 0.500 0.500

Output
**Volume**: 30.9 Å³/atom
**Spin magnetization**: 0.000 μB per atom
**ΔE_f**: 0.85 eV/f.u.

Record 19
DFT (PBE-GGA) results for an optimized crystal structure of YMg2AsS.

a = 6.185 Å, b = 6.185 Å, c = 4.968 Å
α = 90.00°, β = 90.00°, γ = 90.00°
Positions (direct):
1 Y 0.000 0.000 0.000
2 Mg 0.000 0.500 0.000
3 Mg 0.500 0.000 0.000
4 As 0.500 0.500 0.500
5 S 0.000 0.000 0.500

Output
**Volume**: 38.0 Å³/atom
**Formation energy without anion corrections**: 242 kJ/mol of formula units
**Spin magnetization**: 0.392 μB per atom

Record 20
DFT (PBE-GGA) results for an optimized crystal structure of SiPCl.

a = 7.371 Å, b = 7.371 Å, c = 7.371 Å
α = 154.73°, β = 154.73°, γ = 36.04°
Positions (direct):
1 Si 0.000 0.000 0.000
2 P 0.439 0.439 0.000
3 Cl 0.147 0.147 0.000

Output
**Energy relative to the lowest polymorph listed for this composition**: 1.082 eV/f.u.
**Volume**: 24.3 Å³/atom
**Formation energy without anion corrections**: -58 kJ/mol of formula units
**Spin magnetization**: 0.000 μB per atom